No. 1
The following is a PBE calculation of Sc2ZnPt after structural relaxation, from the Open Quantum Materials Database.

Cell: 4.6888 4.6888 8.2068 Å, 90.00 90.00 120.00°
Space group P6_3/mmc (No. 194)
One atom of each set of equivalent atoms:
Sc: 0.3333 0.6667 0.0836 x4
Zn: 0.0000 0.0000 0.0000 x2
Pt: 0.3333 0.6667 0.7500 x2

Computed properties:
**Volume**: 78.13 Å³/f.u.
**DFT formation energy**: -353 meV per atom
**Final energy**: -0.19653 Ha/atom


No. 2
The following is a PBE calculation of NaSiAsOs after structural relaxation, from the Open Quantum Materials Database.

Cell: 6.224 6.224 6.224 Å, 90.00 90.00 90.00°
Space group F-43m (No. 216)
One atom of each set of equivalent atoms:
Na: 0.000 0.000 0.000 x4
Si: 0.250 0.250 0.250 x4
As: 0.250 0.250 0.750 x4
Os: 0.000 0.000 0.500 x4

Computed properties:
**Volume**: 60.29 Å³/f.u.
**Distance to the lowest polymorph of the same formula**: 0.0 kJ/mol of formula units
**Final energy**: -0.20030 Ha/atom


No. 3
The following is a PBE calculation of KErTe3Au after structural relaxation, from the Open Quantum Materials Database.

Cell: 4.225 16.708 11.219 Å, 90.00 90.00 90.00°
Space group Cmcm (No. 63)
One atom of each set of equivalent atoms:
K: 0.000 0.239 0.250 x4
Er: 0.000 0.000 0.000 x4
Te: 0.000 0.078 0.750 x4
Te: 0.000 0.371 0.550 x8
Au: 0.000 0.466 0.750 x4

Computed properties:
**Volume**: 198.01 Å³/f.u.
**Final energy**: -0.14577 Ha/atom


No. 4
The following is a PBE calculation of KSmAsSe3 after structural relaxation, from the Open Quantum Materials Database.

Cell: 4.407 16.020 10.246 Å, 90.00 90.00 90.00°
Space group Cmcm (No. 63)
One atom of each set of equivalent atoms:
K: 0.000 0.244 0.250 x4
Sm: 0.000 0.000 0.000 x4
As: 0.000 0.464 0.750 x4
Se: 0.000 0.101 0.750 x4
Se: 0.000 0.376 0.551 x8

Computed properties:
**Volume**: 180.86 Å³/f.u.
**Final energy**: -0.16327 Ha/atom


No. 5
The following is a PBE calculation of Nd2ErNiSn3Pt2 after structural relaxation, from the Open Quantum Materials Database.

Cell: 4.000 13.105 7.602 Å, 90.00 90.00 90.00°
Space group Amm2 (No. 38)
One atom of each set of equivalent atoms:
Nd: 0.000 0.204 0.000 x4
Er: 0.000 0.000 0.390 x2
Ni: 0.000 0.000 0.789 x2
Sn: 0.500 0.000 0.041 x2
Sn: 0.500 0.122 0.671 x4
Pt: 0.500 0.161 0.299 x4

Computed properties:
**Volume**: 199.28 Å³/f.u.
**Final energy**: -0.21362 Ha/atom


No. 6
The following is a PBE calculation of PrSeBr after structural relaxation, from the Open Quantum Materials Database.

Cell: 4.457 4.457 5.473 Å, 90.00 90.00 90.00°
Space group P4/mmm (No. 123)
One atom of each set of equivalent atoms:
Pr: 0.000 0.000 0.000 x1
Se: 0.500 0.500 0.500 x1
Br: 0.000 0.000 0.500 x1

Computed properties:
**Volume**: 108.73 Å³/f.u.
**Final energy**: -0.12339 Ha/atom


No. 7
The following is a PBE calculation of TaCu2Hg after structural relaxation, from the Open Quantum Materials Database.

Cell: 6.313 6.313 6.313 Å, 90.00 90.00 90.00°
Space group F-43m (No. 216)
One atom of each set of equivalent atoms:
Ta: 0.000 0.000 0.000 x4
Cu: 0.000 0.000 0.500 x4
Cu: 0.250 0.250 0.750 x4
Hg: 0.250 0.250 0.250 x4

Computed properties:
**Volume**: 62.91 Å³/f.u.
**DFT formation energy**: 414 meV per atom
**Final energy**: -0.16470 Ha/atom


No. 8
The following is a PBE calculation of Sc2Ni after structural relaxation, from the Open Quantum Materials Database.

Cell: 7.3893 7.3893 3.5667 Å, 90.00 90.00 120.00°
Space group P-62m (No. 189)
One atom of each set of equivalent atoms:
Sc: 0.0000 0.2531 0.0000 x3
Sc: 0.0000 0.5874 0.5000 x3
Ni: 0.0000 0.0000 0.5000 x1
Ni: 0.3333 0.6667 0.0000 x2

Computed properties:
**Volume**: 56.22 Å³/f.u.
**DFT formation energy**: -254 meV per atom
**Final energy**: -0.23259 Ha/atom


No. 9
The following is a PBE calculation of LiPbAu3Se4 after structural relaxation, from the Open Quantum Materials Database.

Cell: 6.166 6.166 6.166 Å, 90.00 90.00 90.00°
Space group P-43m (No. 215)
One atom of each set of equivalent atoms:
Li: 0.000 0.000 0.000 x1
Pb: 0.500 0.500 0.500 x1
Au: 0.000 0.500 0.500 x3
Se: 0.229 0.229 0.229 x4

Computed properties:
**Volume**: 234.46 Å³/f.u.
**Final energy**: -0.12313 Ha/atom


No. 10
The following is a PBE calculation of BaYHg6 after structural relaxation, from the Open Quantum Materials Database.

Cell: 6.8409 6.8409 5.1798 Å, 90.00 90.00 120.00°
Space group P-6m2 (No. 187)
One atom of each set of equivalent atoms:
Ba: 0.0000 0.0000 0.0000 x1
Y: 0.3333 0.6667 0.5000 x1
Hg: 0.0042 0.5021 0.0000 x3
Hg: 0.3577 0.1788 0.5000 x3

Computed properties:
**Volume**: 209.93 Å³/f.u.
**Final energy**: -0.05904 Ha/atom


No. 11
The following is a PBE calculation of CuAgSnIr after structural relaxation, from the Open Quantum Materials Database.

Cell: 6.404 6.404 6.404 Å, 90.00 90.00 90.00°
Space group F-43m (No. 216)
One atom of each set of equivalent atoms:
Cu: 0.000 0.000 0.000 x4
Ag: 0.250 0.250 0.250 x4
Sn: 0.250 0.250 0.750 x4
Ir: 0.000 0.000 0.500 x4

Computed properties:
**Volume**: 65.66 Å³/f.u.
**Distance to the lowest polymorph of the same formula**: 0.0 kJ/mol of formula units
**Final energy**: -0.17481 Ha/atom


No. 12
The following is a PBE calculation of SrFe2S4 after structural relaxation, from the Open Quantum Materials Database.

Cell: 7.490 7.490 5.410 Å, 90.00 90.00 90.00°
Space group P4/nbm (No. 125, origin choice 2)
One atom of each set of equivalent atoms:
Sr: 0.250 0.250 0.000 x2
Fe: 0.250 0.750 0.000 x2
Fe: 0.250 0.750 0.500 x2
S: 0.092 0.592 0.246 x8

Computed properties:
**Volume**: 151.75 Å³/f.u.
**Final energy**: -0.21236 Ha/atom


No. 13
The following is a PBE calculation of TaNbNO after structural relaxation, from the Open Quantum Materials Database.

Cell: 5.627 7.016 5.305 Å, 90.00 90.00 90.00°
Space group Pca2_1 (No. 29)
One atom of each set of equivalent atoms:
Ta: 0.043 0.116 0.000 x4
Nb: 0.144 0.664 0.028 x4
N: 0.104 0.141 0.622 x4
O: 0.013 0.392 0.163 x4

Computed properties:
**Volume**: 52.36 Å³/f.u.
**Distance to the lowest polymorph of the same formula**: 42.6 kJ/mol of formula units
**Final energy**: -0.36543 Ha/atom


No. 14
The following is a PBE calculation of Ag3AsS3 after structural relaxation, from the Open Quantum Materials Database.

Cell: 12.129 6.414 17.154 Å, 90.00 109.99 90.00°
Space group C2/c (No. 15)
One atom of each set of equivalent atoms:
Ag: 0.066 0.085 0.438 x8
Ag: 0.133 0.033 0.715 x8
Ag: 0.142 0.463 0.368 x8
As: 0.145 0.446 0.072 x8
S: 0.071 0.355 0.173 x8
S: 0.155 0.192 0.587 x8
S: 0.163 0.142 0.859 x8

Computed properties:
**Volume**: 156.76 Å³/f.u.
**Distance to the lowest polymorph of the same formula**: 0.0 kJ/mol of formula units
**Final energy**: -0.13785 Ha/atom


No. 15
The following is a PBE calculation of BaDyBi after structural relaxation, from the Open Quantum Materials Database.

Cell: 7.732 7.732 7.732 Å, 90.00 90.00 90.00°
Space group F-43m (No. 216)
One atom of each set of equivalent atoms:
Ba: 0.000 0.000 0.000 x4
Dy: 0.250 0.250 0.250 x4
Bi: 0.000 0.000 0.500 x4

Computed properties:
**Volume**: 115.57 Å³/f.u.
**Final energy**: -0.12830 Ha/atom


No. 16
The following is a PBE calculation of SbAuSO after structural relaxation, from the Open Quantum Materials Database.

Cell: 6.024 5.459 11.212 Å, 90.00 99.29 90.00°
Space group P2_1 (No. 4)
One atom of each set of equivalent atoms:
Sb: 0.006 0.000 0.409 x2
Sb: 0.435 0.008 0.661 x2
Au: 0.095 0.693 0.197 x2
Au: 0.365 0.917 0.013 x2
S: 0.182 0.897 0.814 x2
S: 0.435 0.929 0.223 x2
O: 0.204 0.763 0.529 x2
O: 0.224 0.234 0.545 x2

Computed properties:
**Volume**: 90.98 Å³/f.u.
**Distance to the lowest polymorph of the same formula**: 0.0 kJ/mol of formula units
**Final energy**: -0.17243 Ha/atom


No. 17
The following is a PBE calculation of CuAg3 after structural relaxation, from the Open Quantum Materials Database.

Cell: 2.8638 2.8638 55.7893 Å, 90.00 90.00 120.00°
Space group R-3m (No. 166, hexagonal axes)
One atom of each set of equivalent atoms:
Cu: 0.0000 0.0000 0.0617 x6
Ag: 0.0000 0.0000 0.1885 x6
Ag: 0.0000 0.0000 0.3110 x6
Ag: 0.0000 0.0000 0.4343 x6

Computed properties:
**Volume**: 66.04 Å³/f.u.
**DFT formation energy**: 66 meV per atom
**Final energy**: -0.10955 Ha/atom


No. 18
The following is a PBE calculation of NbCuNi2 after structural relaxation, from the Open Quantum Materials Database.

Cell: 5.904 5.904 5.904 Å, 90.00 90.00 90.00°
Space group F-43m (No. 216)
One atom of each set of equivalent atoms:
Nb: 0.000 0.000 0.000 x4
Cu: 0.250 0.250 0.250 x4
Ni: 0.000 0.000 0.500 x4
Ni: 0.250 0.250 0.750 x4

Computed properties:
**Volume**: 51.44 Å³/f.u.
**DFT formation energy**: 4 meV per atom
**Final energy**: -0.22903 Ha/atom


No. 19
The following is a PBE calculation of GdHoMgCo2 after structural relaxation, from the Open Quantum Materials Database.

Cell: 4.205 5.638 8.222 Å, 90.00 90.00 90.00°
Space group Imm2 (No. 44)
One atom of each set of equivalent atoms:
Gd: 0.000 0.000 0.000 x2
Ho: 0.000 0.000 0.415 x2
Mg: 0.000 0.500 0.207 x2
Co: 0.000 0.302 0.709 x4

Computed properties:
**Volume**: 97.47 Å³/f.u.
**Final energy**: -0.19041 Ha/atom


No. 20
The following is a PBE calculation of SrDySi4Os2 after structural relaxation, from the Open Quantum Materials Database.

Cell: 4.528 4.076 8.304 Å, 90.00 101.96 90.00°
Space group Pm (No. 6)
One atom of each set of equivalent atoms:
Sr: 0.000 0.000 0.000 x1
Dy: 0.171 0.500 0.403 x1
Si: 0.243 0.000 0.685 x1
Si: 0.545 0.500 0.106 x1
Si: 0.619 0.000 0.289 x1
Si: 0.911 0.500 0.700 x1
Os: 0.456 0.500 0.806 x1
Os: 0.696 0.000 0.577 x1

Computed properties:
**Volume**: 149.94 Å³/f.u.
**Final energy**: -0.25337 Ha/atom